Entry from Alexandria via LeMat-Bulk: crystalline LiCa2In at its relaxed geometry (PBE).

## Properties
Calculated formation energy (eV per atom): -0.24
N(E_F) (states/eV per atom): 0.809
Magnetic moment (μB/f.u.): 0.00
Calculated total energy (eV per atom): -2.4023
SG: Pm
Mass density (g/cm3): 2.8

Cell: 5.1892 3.7823 6.4054 Å, 73.20 90.00 90.00°
Fractional positions:
Ca: 0.0000 0.9705 0.9379
Ca: 0.5000 0.2739 0.3229
Li: 0.5000 0.5657 0.7488
In: 0.0000 0.6899 0.4904